{
  "formula": "PS2ClO",
  "functional": "GGA-PBE",
  "state": "optimized geometry",
  "dft_energy_ev_per_atom": -2.210,
  "m_tot_mub_per_atom": 0.0186,
  "crystal_system": "tetragonal",
  "lattice_angstrom": [[4.391, 0.000, 0.000], [0.000, 4.391, 0.000], [0.000, 0.000, 5.154]],
  "species": ["P", "Cl", "S", "S", "O"],
  "fractional_positions": [[0.000, 0.000, 0.500], [0.000, 0.000, 0.000], [0.000, 0.500, 0.000], [0.500, 0.000, 0.000], [0.500, 0.500, 0.500]]
}